Entry 1:
{
  "formula": "RbLiCo2Sb",
  "functional": "GGA-PBE",
  "state": "optimized geometry",
  "lattice": [[4.8184, 0.0000, 0.0000], [0.0000, 4.8184, 0.0000], [0.0000, 0.0000, 6.3121]],
  "species": ["Rb", "Li", "Co", "Co", "Sb"],
  "fractional_positions": [[0.0000, 0.0000, 0.0000], [0.5000, 0.5000, 0.5000], [0.0000, 0.5000, 0.0000], [0.5000, 0.0000, 0.0000], [0.0000, 0.0000, 0.5000]],
  "m_tot_mub_per_cell": 2.7,
  "vol_a3_per_cell": 146.5,
  "e_form_raw_ev_per_atom": 1.96,
  "dos_at_fermi_per_ev_fu": 7.4
}


Entry 2:
{
  "formula": "LaFeOs2",
  "functional": "GGA-PBE",
  "state": "optimized geometry",
  "lattice": [[2.9709, 0.0000, 0.0000], [0.0000, 2.9709, 0.0000], [0.0000, 0.0000, 7.7338]],
  "species": ["La", "Fe", "Os", "Os"],
  "fractional_positions": [[0.0000, 0.0000, 0.0000], [0.0000, 0.0000, 0.5000], [0.5000, 0.5000, 0.3145], [0.5000, 0.5000, 0.6855]],
  "formation_energy_mev_per_atom": 367,
  "m_tot_mub_per_cell": 1.5,
  "vol_a3_per_cell": 68.3,
  "relative_energy_ev_per_atom": 0.2939,
  "dos_at_fermi_per_ev_fu": 3.9
}


Entry 3:
{
  "formula": "CaHfMg6O8",
  "functional": "GGA-PBE",
  "state": "optimized geometry",
  "lattice": [[4.4097, 0.0000, 0.0000], [0.0000, 4.4097, 0.0000], [0.0000, 0.0000, 8.8842]],
  "species": ["Ca", "Hf", "Mg", "Mg", "Mg", "Mg", "Mg", "Mg", "O", "O", "O", "O", "O", "O", "O", "O"],
  "fractional_positions": [[0.0000, 0.0000, 0.0000], [0.5000, 0.5000, 0.0000], [0.0000, 0.0000, 0.5000], [0.0000, 0.5000, 0.2639], [0.0000, 0.5000, 0.7361], [0.5000, 0.0000, 0.2639], [0.5000, 0.0000, 0.7361], [0.5000, 0.5000, 0.5000], [0.0000, 0.0000, 0.2676], [0.0000, 0.0000, 0.7324], [0.0000, 0.5000, 0.0000], [0.0000, 0.5000, 0.5000], [0.5000, 0.0000, 0.0000], [0.5000, 0.0000, 0.5000], [0.5000, 0.5000, 0.2570], [0.5000, 0.5000, 0.7430]],
  "m_tot_mub_per_cell": 0.5,
  "vol_a3_per_cell": 172.8,
  "relative_energy_ev_per_atom": 0.0000,
  "e_form_raw_ev_per_atom": -2.51,
  "dos_at_fermi_per_ev_fu": 3.0
}


Entry 4:
{
  "formula": "Ho2ScSbC",
  "functional": "GGA-PBE",
  "state": "optimized geometry",
  "lattice": [[4.8538, 0.0000, 0.0000], [0.0000, 4.8538, 0.0000], [0.0000, 0.0000, 4.5428]],
  "species": ["Ho", "Ho", "Sc", "Sb", "C"],
  "fractional_positions": [[0.0000, 0.5000, 0.0000], [0.5000, 0.0000, 0.0000], [0.0000, 0.0000, 0.5000], [0.5000, 0.5000, 0.5000], [0.0000, 0.0000, 0.0000]],
  "m_tot_mub_per_cell": 0.0,
  "vol_a3_per_cell": 107.0,
  "e_form_raw_ev_per_atom": -0.67,
  "dos_at_fermi_per_ev_fu": 3.2
}


Entry 5:
{
  "formula": "CdSeI",
  "functional": "GGA-PBE",
  "state": "optimized geometry",
  "lattice": [[4.3238, 0.0000, 0.0000], [-2.1451, 3.8736, 0.0000], [-0.1111, -2.2367, 5.9974]],
  "species": ["Cd", "Se", "I"],
  "fractional_positions": [[0.0000, 0.0000, 0.0000], [0.6285, 0.2626, 0.8420], [0.6179, 0.2346, 0.3631]],
  "m_tot_mub_per_cell": 0.0,
  "vol_a3_per_cell": 100.4,
  "relative_energy_ev_per_atom": 0.1393,
  "e_form_raw_ev_per_atom": -0.32,
  "dos_at_fermi_per_ev_fu": 1.0
}


Entry 6:
{
  "formula": "Pr2SmYBi5",
  "functional": "GGA-PBE",
  "state": "optimized geometry",
  "lattice": [[5.5299, 0.0000, 0.0000], [0.0000, 5.5299, 0.0000], [0.0000, 0.0000, 11.9667]],
  "species": ["Pr", "Pr", "Sm", "Y", "Bi", "Bi", "Bi", "Bi", "Bi"],
  "fractional_positions": [[0.0000, 0.0000, 0.2240], [0.0000, 0.0000, 0.7760], [0.5000, 0.5000, 0.0000], [0.5000, 0.5000, 0.5000], [0.0000, 0.0000, 0.5000], [0.0000, 0.5000, 0.0000], [0.5000, 0.0000, 0.0000], [0.5000, 0.5000, 0.2560], [0.5000, 0.5000, 0.7440]],
  "formation_energy_mev_per_atom": -97,
  "m_tot_mub_per_cell": 0.0,
  "vol_a3_per_cell": 365.9,
  "dos_at_fermi_per_ev_fu": 6.1
}


Entry 7:
{
  "formula": "Rb2BaNiI6",
  "functional": "GGA-PBE",
  "state": "optimized geometry",
  "lattice": [[0.0000, 6.1263, 6.1263], [6.1263, 0.0000, 6.1263], [6.1263, 6.1263, 0.0000]],
  "species": ["Rb", "Rb", "Ba", "Ni", "I", "I", "I", "I", "I", "I"],
  "fractional_positions": [[0.2500, 0.2500, 0.2500], [0.7500, 0.7500, 0.7500], [0.0000, 0.0000, 0.0000], [0.5000, 0.5000, 0.5000], [0.2742, 0.2742, 0.7258], [0.2742, 0.7258, 0.2742], [0.2742, 0.7258, 0.7258], [0.7258, 0.2742, 0.2742], [0.7258, 0.2742, 0.7258], [0.7258, 0.7258, 0.2742]],
  "m_tot_mub_per_cell": 2.0,
  "vol_a3_per_cell": 459.9,
  "e_form_raw_ev_per_atom": -1.05,
  "dos_at_fermi_per_ev_fu": 0.0
}


Entry 8:
{
  "formula": "AcIn3Sn",
  "functional": "GGA-PBE",
  "state": "optimized geometry",
  "lattice": [[-3.0980, 3.0980, 10.1835], [3.0980, -3.0980, 10.1835], [3.0980, 3.0980, -10.1835]],
  "species": ["Ac", "Ac", "In", "In", "In", "In", "In", "In", "Sn", "Sn"],
  "fractional_positions": [[0.2071, 0.2071, 0.0000], [0.7929, 0.7929, 0.0000], [0.3722, 0.6222, 0.7499], [0.3778, 0.1277, 0.7499], [0.3778, 0.6278, 0.2501], [0.6327, 0.1327, 0.5000], [0.8673, 0.3673, 0.5000], [0.8723, 0.6222, 0.2501], [0.2500, 0.7500, 0.5000], [0.5000, 0.5000, 0.0000]],
  "formation_energy_mev_per_atom": 43,
  "m_tot_mub_per_cell": 0.0,
  "vol_a3_per_cell": 391.0,
  "relative_energy_ev_per_atom": 0.2928,
  "dos_at_fermi_per_ev_fu": 4.1
}


Entry 9:
{
  "formula": "ZrCo2Se",
  "functional": "GGA-PBE",
  "state": "optimized geometry",
  "lattice": [[3.3760, 0.0000, 0.0000], [0.0000, 4.2983, 0.0000], [0.0000, 0.0000, 8.0584]],
  "species": ["Zr", "Zr", "Co", "Co", "Co", "Co", "Se", "Se"],
  "fractional_positions": [[0.0000, 0.0000, 0.0000], [0.5000, 0.5000, 0.5000], [0.0000, 0.5000, 0.2301], [0.0000, 0.5000, 0.7699], [0.5000, 0.0000, 0.2699], [0.5000, 0.0000, 0.7301], [0.0000, 0.0000, 0.5000], [0.5000, 0.5000, 0.0000]],
  "m_tot_mub_per_cell": 0.5,
  "vol_a3_per_cell": 116.9,
  "e_form_raw_ev_per_atom": -0.15,
  "dos_at_fermi_per_ev_fu": 3.7
}


Entry 10:
{
  "formula": "SnHg3N",
  "functional": "GGA-PBE",
  "state": "optimized geometry",
  "lattice": [[5.8027, 0.0000, 0.0000], [0.0000, 5.8027, 0.0000], [0.0000, 0.0000, 5.8027]],
  "species": ["Sn", "Hg", "Hg", "Hg", "N"],
  "fractional_positions": [[0.0000, 0.0000, 0.0000], [0.0000, 0.0000, 0.5000], [0.0000, 0.5000, 0.0000], [0.5000, 0.0000, 0.0000], [0.5000, 0.5000, 0.5000]],
  "m_tot_mub_per_cell": 2.6,
  "vol_a3_per_cell": 195.4,
  "relative_energy_ev_per_atom": 0.2742,
  "e_form_raw_ev_per_atom": 1.11,
  "dos_at_fermi_per_ev_fu": 3.7
}


Entry 11:
{
  "formula": "Fe5Co",
  "functional": "GGA-PBE",
  "state": "optimized geometry",
  "lattice": [[2.4630, 0.0000, 0.0000], [0.8241, 4.6471, 0.0000], [0.8284, 1.1594, 6.0387]],
  "species": ["Fe", "Fe", "Fe", "Fe", "Fe", "Co"],
  "fractional_positions": [[0.0000, 0.0000, 0.0000], [0.1694, 0.1668, 0.3321], [0.3359, 0.3330, 0.6672], [0.6641, 0.6670, 0.3328], [0.8306, 0.8332, 0.6679], [0.5000, 0.5000, 0.0000]],
  "formation_energy_mev_per_atom": -17,
  "m_tot_mub_per_cell": 13.9,
  "vol_a3_per_cell": 69.1,
  "dos_at_fermi_per_ev_fu": 4.9
}


Entry 12:
{
  "formula": "V2ZnNi6",
  "functional": "GGA-PBE",
  "state": "optimized geometry",
  "lattice": [[-1.2455, 3.6991, 5.7418], [1.2455, -3.6991, 5.7418], [1.2455, 3.6991, -5.7418]],
  "species": ["V", "V", "Zn", "Ni", "Ni", "Ni", "Ni", "Ni", "Ni"],
  "fractional_positions": [[0.1600, 0.1600, 0.0000], [0.8400, 0.8400, 0.0000], [0.5000, 0.0000, 0.5000], [0.1537, 0.8254, 0.3283], [0.1787, 0.5000, 0.6787], [0.4972, 0.8254, 0.6717], [0.5028, 0.1746, 0.3283], [0.8213, 0.5000, 0.3213], [0.8463, 0.1746, 0.6717]],
  "formation_energy_mev_per_atom": -95,
  "m_tot_mub_per_cell": 0.0,
  "vol_a3_per_cell": 105.8,
  "dos_at_fermi_per_ev_fu": 9.8
}